Material: TaZnRu2
Method: DFT, PBE-GGA
State: relaxed

Fermi-level density of states: 3.42 states/eV/f.u.
total DFT energy (no corrections): -8.07 eV/atom
formation energy from the elements: -0.15 eV per atom
space group: Cm, No. 8
spin magnetization: 0.00 μB per atom

POSCAR file:
```
TaZnRu2
1.0
9.635 0.000 0.000
0.000 3.084 0.000
-1.616 0.000 4.027
Ta Zn Ru
2 2 4
Direct
0.000 0.000 0.000
0.500 0.500 0.000
0.257 0.500 0.351
0.757 0.000 0.351
0.000 0.500 0.496
0.248 0.000 0.844
0.500 0.000 0.496
0.748 0.500 0.844
```